[1]
Compound: CaGeN
Source: Alexandria via LeMat-Bulk
Functional: PBE
Structure: relaxed

Results
ρ (g cm⁻³): 3.51
ΔE_f (raw) (eV per atom): -0.136
Energy relative to the lowest polymorph listed for this composition (eV per atom): 0.531

```
data_CaGeN
_symmetry_space_group_name_H-M 'P 1'
_symmetry_Int_Tables_number 1
_symmetry_space_group_name_Hall 'P 1'
_cell_length_a 6.5606
_cell_length_b 5.7488
_cell_length_c 3.8372
_cell_angle_alpha 83.84
_cell_angle_beta 60.60
_cell_angle_gamma 35.56
loop_
_atom_site_label
_atom_site_type_symbol
_atom_site_fract_x
_atom_site_fract_y
_atom_site_fract_z
Ca1 Ca 0.0000 0.0000 0.0000
Ge1 Ge 0.2648 0.2648 0.7352
N1 N 0.6559 0.6559 0.3441
```

[2]
Compound: Ca5GeN6
Source: Alexandria via LeMat-Bulk
Functional: PBE
Structure: relaxed

Results
ρ (g cm⁻³): 3.43
ΔE_f (raw) (eV per atom): -0.261

```
data_Ca5GeN6
_symmetry_space_group_name_H-M 'P 1'
_symmetry_Int_Tables_number 1
_symmetry_space_group_name_Hall 'P 1'
_cell_length_a 5.9295
_cell_length_b 5.9295
_cell_length_c 6.1756
_cell_angle_alpha 99.41
_cell_angle_beta 99.41
_cell_angle_gamma 122.11
loop_
_atom_site_label
_atom_site_type_symbol
_atom_site_fract_x
_atom_site_fract_y
_atom_site_fract_z
Ca1 Ca 0.0000 0.0000 0.0000
Ca2 Ca 0.1671 0.8329 0.5000
Ca3 Ca 0.3274 0.6726 0.0000
Ca4 Ca 0.6726 0.3274 0.0000
Ca5 Ca 0.8329 0.1671 0.5000
Ge1 Ge 0.5000 0.5000 0.5000
N1 N 0.1141 0.4221 0.2606
N2 N 0.3140 0.3140 0.7114
N3 N 0.4221 0.1141 0.2606
N4 N 0.5779 0.8859 0.7394
N5 N 0.6860 0.6860 0.2886
N6 N 0.8859 0.5779 0.7394
```

[3]
Compound: CaGeN
Source: Alexandria via LeMat-Bulk
Functional: PBE
Structure: relaxed

Results
ρ (g cm⁻³): 4.30
ΔE_f (raw) (eV per atom): -0.668
Energy relative to the lowest polymorph listed for this composition (eV per atom): 0.000

```
data_CaGeN
_symmetry_space_group_name_H-M 'P 1'
_symmetry_Int_Tables_number 1
_symmetry_space_group_name_Hall 'P 1'
_cell_length_a 3.6774
_cell_length_b 3.6774
_cell_length_c 7.2295
_cell_angle_alpha 90.00
_cell_angle_beta 90.00
_cell_angle_gamma 90.00
loop_
_atom_site_label
_atom_site_type_symbol
_atom_site_fract_x
_atom_site_fract_y
_atom_site_fract_z
Ca1 Ca 0.2500 0.2500 0.1549
Ca2 Ca 0.7500 0.7500 0.8451
Ge1 Ge 0.2500 0.2500 0.5697
Ge2 Ge 0.7500 0.7500 0.4303
N1 N 0.2500 0.2500 0.8256
N2 N 0.7500 0.7500 0.1744
```

[4]
Compound: Ca2GeN
Source: Alexandria via LeMat-Bulk
Functional: PBE
Structure: relaxed

Results
ρ (g cm⁻³): 3.44
ΔE_f (raw) (eV per atom): 0.151

```
data_Ca2GeN
_symmetry_space_group_name_H-M 'P 1'
_symmetry_Int_Tables_number 1
_symmetry_space_group_name_Hall 'P 1'
_cell_length_a 4.8482
_cell_length_b 4.8482
_cell_length_c 4.8482
_cell_angle_alpha 60.00
_cell_angle_beta 60.00
_cell_angle_gamma 60.00
loop_
_atom_site_label
_atom_site_type_symbol
_atom_site_fract_x
_atom_site_fract_y
_atom_site_fract_z
Ca1 Ca 0.2500 0.2500 0.2500
Ca2 Ca 0.7500 0.7500 0.7500
Ge1 Ge 0.0000 0.0000 0.0000
N1 N 0.5000 0.5000 0.5000
```

[5]
Compound: Ca4Ge2N
Source: Alexandria via LeMat-Bulk
Functional: PBE
Structure: relaxed

Results
ρ (g cm⁻³): 3.06
ΔE_f (raw) (eV per atom): -0.562

```
data_Ca4Ge2N
_symmetry_space_group_name_H-M 'P 1'
_symmetry_Int_Tables_number 1
_symmetry_space_group_name_Hall 'P 1'
_cell_length_a 8.0382
_cell_length_b 8.0382
_cell_length_c 8.0382
_cell_angle_alpha 144.61
_cell_angle_beta 144.61
_cell_angle_gamma 50.91
loop_
_atom_site_label
_atom_site_type_symbol
_atom_site_fract_x
_atom_site_fract_y
_atom_site_fract_z
Ca1 Ca 0.0000 0.5000 0.5000
Ca2 Ca 0.1648 0.1648 0.0000
Ca3 Ca 0.5000 0.0000 0.5000
Ca4 Ca 0.8352 0.8352 0.0000
Ge1 Ge 0.3740 0.3740 0.0000
Ge2 Ge 0.6260 0.6260 0.0000
N1 N 0.0000 0.0000 0.0000
```

[6]
Compound: Ca12Ge3N5
Source: Alexandria via LeMat-Bulk
Functional: PBE
Structure: relaxed

Results
ρ (g cm⁻³): 2.64
ΔE_f (raw) (eV per atom): -0.613

```
data_Ca12Ge3N5
_symmetry_space_group_name_H-M 'P 1'
_symmetry_Int_Tables_number 1
_symmetry_space_group_name_Hall 'P 1'
_cell_length_a 13.5930
_cell_length_b 13.5930
_cell_length_c 13.5930
_cell_angle_alpha 109.47
_cell_angle_beta 109.47
_cell_angle_gamma 109.47
loop_
_atom_site_label
_atom_site_type_symbol
_atom_site_fract_x
_atom_site_fract_y
_atom_site_fract_z
Ca1 Ca 0.0162 0.1983 0.1149
Ca2 Ca 0.0162 0.3179 0.9014
Ca3 Ca 0.0835 0.6983 0.6821
Ca4 Ca 0.0835 0.8851 0.4014
Ca5 Ca 0.0986 0.6149 0.4165
Ca6 Ca 0.0986 0.9838 0.6821
Ca7 Ca 0.1149 0.0162 0.1983
Ca8 Ca 0.1149 0.5986 0.9165
Ca9 Ca 0.1821 0.1983 0.5835
Ca10 Ca 0.1821 0.4838 0.5986
Ca11 Ca 0.1983 0.1149 0.0162
Ca12 Ca 0.1983 0.5835 0.1821
Ca13 Ca 0.3017 0.3179 0.9165
Ca14 Ca 0.3017 0.4838 0.3851
Ca15 Ca 0.3179 0.9014 0.0162
Ca16 Ca 0.3179 0.9165 0.3017
Ca17 Ca 0.3851 0.3017 0.4838
Ca18 Ca 0.3851 0.5835 0.9014
Ca19 Ca 0.4014 0.0835 0.8851
Ca20 Ca 0.4014 0.8179 0.5162
Ca21 Ca 0.4165 0.0986 0.6149
Ca22 Ca 0.4165 0.8179 0.8017
Ca23 Ca 0.4838 0.3851 0.3017
Ca24 Ca 0.4838 0.5986 0.1821
Ca25 Ca 0.5162 0.4014 0.8179
Ca26 Ca 0.5162 0.6149 0.6983
Ca27 Ca 0.5835 0.1821 0.1983
Ca28 Ca 0.5835 0.9014 0.3851
Ca29 Ca 0.5986 0.1821 0.4838
Ca30 Ca 0.5986 0.9165 0.1149
Ca31 Ca 0.6149 0.4165 0.0986
Ca32 Ca 0.6149 0.6983 0.5162
Ca33 Ca 0.6821 0.0835 0.6983
Ca34 Ca 0.6821 0.0986 0.9838
Ca35 Ca 0.6983 0.5162 0.6149
Ca36 Ca 0.6983 0.6821 0.0835
Ca37 Ca 0.8017 0.4165 0.8179
Ca38 Ca 0.8017 0.8851 0.9838
Ca39 Ca 0.8179 0.5162 0.4014
Ca40 Ca 0.8179 0.8017 0.4165
Ca41 Ca 0.8851 0.4014 0.0835
Ca42 Ca 0.8851 0.9838 0.8017
Ca43 Ca 0.9014 0.0162 0.3179
Ca44 Ca 0.9014 0.3851 0.5835
Ca45 Ca 0.9165 0.1149 0.5986
Ca46 Ca 0.9165 0.3017 0.3179
Ca47 Ca 0.9838 0.6821 0.0986
Ca48 Ca 0.9838 0.8017 0.8851
Ge1 Ge 0.1250 0.2500 0.3750
Ge2 Ge 0.1250 0.3750 0.7500
Ge3 Ge 0.2500 0.3750 0.1250
Ge4 Ge 0.2500 0.8750 0.6250
Ge5 Ge 0.3750 0.1250 0.2500
Ge6 Ge 0.3750 0.7500 0.1250
Ge7 Ge 0.6250 0.2500 0.8750
Ge8 Ge 0.6250 0.8750 0.7500
Ge9 Ge 0.7500 0.1250 0.3750
Ge10 Ge 0.7500 0.6250 0.8750
Ge11 Ge 0.8750 0.6250 0.2500
Ge12 Ge 0.8750 0.7500 0.6250
N1 N 0.0000 0.0000 0.0000
N2 N 0.0000 0.0000 0.5000
N3 N 0.0000 0.5000 0.0000
N4 N 0.0000 0.5000 0.5000
N5 N 0.1250 0.7500 0.8750
N6 N 0.1250 0.8750 0.2500
N7 N 0.2500 0.1250 0.8750
N8 N 0.2500 0.6250 0.3750
N9 N 0.3750 0.2500 0.6250
N10 N 0.3750 0.6250 0.7500
N11 N 0.5000 0.0000 0.0000
N12 N 0.5000 0.0000 0.5000
N13 N 0.5000 0.5000 0.0000
N14 N 0.5000 0.5000 0.5000
N15 N 0.6250 0.3750 0.2500
N16 N 0.6250 0.7500 0.3750
N17 N 0.7500 0.3750 0.6250
N18 N 0.7500 0.8750 0.1250
N19 N 0.8750 0.1250 0.7500
N20 N 0.8750 0.2500 0.1250
```

[7]
Compound: Ca2GeN2
Source: Alexandria via LeMat-Bulk
Functional: PBE
Structure: relaxed

Results
ρ (g cm⁻³): 3.79
ΔE_f (raw) (eV per atom): -0.706
Energy relative to the lowest polymorph listed for this composition (eV per atom): 0.107

```
data_Ca2GeN2
_symmetry_space_group_name_H-M 'P 1'
_symmetry_Int_Tables_number 1
_symmetry_space_group_name_Hall 'P 1'
_cell_length_a 8.4205
_cell_length_b 8.4205
_cell_length_c 5.8102
_cell_angle_alpha 90.00
_cell_angle_beta 90.00
_cell_angle_gamma 157.36
loop_
_atom_site_label
_atom_site_type_symbol
_atom_site_fract_x
_atom_site_fract_y
_atom_site_fract_z
Ca1 Ca 0.0750 0.9250 0.5000
Ca2 Ca 0.2511 0.7489 0.1718
Ca3 Ca 0.7489 0.2511 0.6718
Ca4 Ca 0.9250 0.0750 0.0000
Ge1 Ge 0.4019 0.5981 0.5313
Ge2 Ge 0.5981 0.4019 0.0313
N1 N 0.1472 0.8528 0.8636
N2 N 0.3429 0.6571 0.8210
N3 N 0.6571 0.3429 0.3210
N4 N 0.8528 0.1472 0.3636
```

[8]
Compound: Ca2GeN2
Source: Alexandria via LeMat-Bulk
Functional: PBE
Structure: relaxed

Results
ρ (g cm⁻³): 3.75
ΔE_f (raw) (eV per atom): -0.812
Energy relative to the lowest polymorph listed for this composition (eV per atom): 0.000

```
data_Ca2GeN2
_symmetry_space_group_name_H-M 'P 1'
_symmetry_Int_Tables_number 1
_symmetry_space_group_name_Hall 'P 1'
_cell_length_a 11.2415
_cell_length_b 11.2415
_cell_length_c 5.0646
_cell_angle_alpha 90.00
_cell_angle_beta 90.00
_cell_angle_gamma 90.00
loop_
_atom_site_label
_atom_site_type_symbol
_atom_site_fract_x
_atom_site_fract_y
_atom_site_fract_z
Ca1 Ca 0.0210 0.3501 0.0000
Ca2 Ca 0.0746 0.1331 0.5000
Ca3 Ca 0.1331 0.9254 0.0000
Ca4 Ca 0.1499 0.4790 0.5000
Ca5 Ca 0.3501 0.9790 0.5000
Ca6 Ca 0.3669 0.4254 0.0000
Ca7 Ca 0.4254 0.6331 0.5000
Ca8 Ca 0.4790 0.8501 0.0000
Ca9 Ca 0.5210 0.1499 0.0000
Ca10 Ca 0.5746 0.3669 0.5000
Ca11 Ca 0.6331 0.5746 0.0000
Ca12 Ca 0.6499 0.0210 0.5000
Ca13 Ca 0.8501 0.5210 0.5000
Ca14 Ca 0.8669 0.0746 0.0000
Ca15 Ca 0.9254 0.8669 0.5000
Ca16 Ca 0.9790 0.6499 0.0000
Ge1 Ge 0.1560 0.7451 0.5000
Ge2 Ge 0.2451 0.6560 0.0000
Ge3 Ge 0.2549 0.1560 0.0000
Ge4 Ge 0.3440 0.2451 0.5000
Ge5 Ge 0.6560 0.7549 0.5000
Ge6 Ge 0.7451 0.8440 0.0000
Ge7 Ge 0.7549 0.3440 0.0000
Ge8 Ge 0.8440 0.2549 0.5000
N1 N 0.0085 0.6633 0.5000
N2 N 0.0896 0.1358 0.0000
N3 N 0.1358 0.9104 0.5000
N4 N 0.1633 0.5085 0.0000
N5 N 0.3367 0.0085 0.0000
N6 N 0.3642 0.4104 0.5000
N7 N 0.4104 0.6358 0.0000
N8 N 0.4915 0.1633 0.5000
N9 N 0.5085 0.8367 0.5000
N10 N 0.5896 0.3642 0.0000
N11 N 0.6358 0.5896 0.5000
N12 N 0.6633 0.9915 0.0000
N13 N 0.8367 0.4915 0.0000
N14 N 0.8642 0.0896 0.5000
N15 N 0.9104 0.8642 0.0000
N16 N 0.9915 0.3367 0.5000
```

[9]
Compound: Ca3GeN
Source: Alexandria via LeMat-Bulk
Functional: PBE
Structure: relaxed

Results
ρ (g cm⁻³): 3.06
ΔE_f (raw) (eV per atom): -0.719
Energy relative to the lowest polymorph listed for this composition (eV per atom): 0.000

```
data_Ca3GeN
_symmetry_space_group_name_H-M 'P 1'
_symmetry_Int_Tables_number 1
_symmetry_space_group_name_Hall 'P 1'
_cell_length_a 4.8234
_cell_length_b 4.8234
_cell_length_c 4.8234
_cell_angle_alpha 90.00
_cell_angle_beta 90.00
_cell_angle_gamma 90.00
loop_
_atom_site_label
_atom_site_type_symbol
_atom_site_fract_x
_atom_site_fract_y
_atom_site_fract_z
Ca1 Ca 0.0000 0.0000 0.5000
Ca2 Ca 0.0000 0.5000 0.0000
Ca3 Ca 0.5000 0.0000 0.0000
Ge1 Ge 0.5000 0.5000 0.5000
N1 N 0.0000 0.0000 0.0000
```